Entry from Alexandria via LeMat-Bulk: an optimized crystal structure of PmCdF (PBE).

V: 324.28 Å³ per cell
DOS at the Fermi energy: 6.5 states/eV per cell
Raw formation energy: -1.54 eV/atom
Raw total energy: -4.050 eV/atom
Crystal system: orthorhombic

abc: 14.407 3.606 6.242
angles: 90.00 90.00 90.00
Space group Amm2 (No. 38)
Inequivalent atoms, fractional coordinates:
1 Pm 0.179 0.000 0.000 (multiplicity 4)
2 Cd 0.000 0.000 0.334 (multiplicity 2)
3 Cd 0.500 0.000 0.112 (multiplicity 2)
4 F 0.269 0.000 0.334 (multiplicity 4)